Pa3Al2: relaxed, GGA-PBE.

Its total energy is -6.31 eV per atom.

Cell: 7.2604 7.2604 7.6693 Å, 118.25 61.75 120.00°
With the nearest neighbours (Å) after each atom.
Atoms (fractional coordinates):
1 Pa 0.4509 0.2500 0.7500  4 Al 2.87-2.88
2 Pa 0.9509 0.4509 0.2500  4 Al 2.87-2.88
3 Pa 0.0491 0.5491 0.7500  4 Al 2.87-2.88
4 Pa 0.2500 0.0491 0.2500  4 Al 2.87-2.88
5 Pa 0.5491 0.7500 0.2500  4 Al 2.87-2.88
6 Pa 0.7500 0.9509 0.7500  4 Al 2.87-2.88
7 Al 0.6514 0.3486 0.0457  6 Pa 2.87-2.88
8 Al 0.3486 0.6514 0.9543  6 Pa 2.87-2.88
9 Al 0.1514 0.8486 0.5457  6 Pa 2.87-2.88
10 Al 0.8486 0.1514 0.4543  6 Pa 2.87-2.88